1.
First-principles (meta-GGA SCAN) data for MgCuAs2 at its PBEsol-relaxed geometry, as listed in the Alexandria database.

a = 3.574 Å, b = 3.574 Å, c = 5.383 Å
α = 90.00°, β = 90.00°, γ = 90.00°
Space group P4mm (No. 99)
Symmetry-distinct sites (fractional):
Mg  0.000  0.000  0.000
Cu  0.500  0.500  0.628
As  0.000  0.000  0.517
As  0.500  0.500  0.162

Properties
ΔH_f (0 K) ... 0.01 eV per atom
Calculated density ... 5739 kg/m3


2.
First-principles (meta-GGA SCAN) data for MgCuAs at its PBEsol-relaxed geometry, as listed in the Alexandria database.

a = 13.385 Å, b = 3.944 Å, c = 7.293 Å
α = 90.00°, β = 90.00°, γ = 90.00°
Space group Pnma (No. 62)
Symmetry-distinct sites (fractional):
Mg  0.108  0.250  0.057
Mg  0.141  0.750  0.673
Cu  0.066  0.250  0.431
Cu  0.186  0.750  0.301
As  0.001  0.750  0.248
As  0.248  0.750  0.979

Properties
ΔH_f (0 K) ... -0.42 eV per atom
Calculated density ... 5616 kg/m3